A relaxed structure of TmThBiPb. Source: Alexandria via LeMat-Bulk, functional PBE.

POSCAR file:
```
TmThBiPb
1.0
5.5072 0.0000 0.0000
2.7536 4.7694 0.0000
2.7536 1.5898 4.4966
Th Tm Bi Pb
1 1 1 1
Cartesian
2.7536 1.5898 1.1241
8.2608 4.7694 3.3724
0.0000 0.0000 0.0000
5.5072 3.1796 2.2483
```

Space-group type = F-43m (216)

***

A relaxed structure of Ti2Bi2Pb. Source: Alexandria via LeMat-Bulk, functional PBE.

POSCAR file:
```
Ti2Bi2Pb
1.0
-1.8960 6.8167 -3.2457
-3.9349 -3.7483 -5.5735
-3.2432 0.1425 2.1938
Ti Pb Bi
4 2 4
Cartesian
-4.0787 -0.7631 -5.9799
-1.7523 3.8316 -2.8393
-1.6862 -0.4169 -2.4657
-4.1447 3.4853 -6.3535
0.0000 0.0000 0.0000
-2.9155 1.5342 -4.4096
-4.4977 -1.3247 -3.0642
-4.5764 4.5356 -3.5611
-6.1868 1.3778 -5.7367
-2.8873 1.8331 -0.8887
```

Space-group type = P4/mbm (127)

***

A relaxed structure of Ti2BiPb. Source: Alexandria via LeMat-Bulk, functional PBE.

POSCAR file:
```
Ti2BiPb
1.0
6.3701 0.0000 0.0000
0.0000 6.3701 0.0000
3.1850 3.1850 6.4585
Bi Ti Pb
2 4 2
Cartesian
6.3701 3.1850 3.2292
0.0000 0.0000 0.0000
7.9626 7.9261 4.8438
1.6290 4.7775 1.6146
4.7411 1.5925 1.6146
4.7775 4.8140 4.8438
3.1850 6.3701 3.2292
3.1850 3.1850 0.0000
```

Space-group type = I-42d (122)

***

A relaxed structure of Ti2BiPb. Source: Alexandria via LeMat-Bulk, functional PBE.

POSCAR file:
```
Ti2BiPb
1.0
3.8658 0.0000 0.0000
0.0000 4.7366 0.0000
0.0000 0.0000 4.7366
Ti Bi Pb
2 1 1
Cartesian
0.0000 0.0000 2.3683
0.0000 2.3683 0.0000
1.9329 0.0000 0.0000
1.9329 2.3683 2.3683
```

Space-group type = P4/mmm (123)

***

no.,offset from the most stable computed form (meV/atom),M_tot (μB/atom)
1,75,0.000
2,0,0.000
3,625,0.250
4,27,0.001